# ZrMoAs2 (PBE, optimized geometry)
# crystal system = orthorhombic
# E above lowest polymorph = 467.1 meV per atom
# magnetic moment = 0.00 μB/cell
# DOS(E_F) = 3.18 states/eV/cell
# raw total energy = -7.361 eV per atom
# E_form = -74 kJ/mol of formula units
data_ZrMoAs2
_chemical_formula_sum 'Zr1 Mo1 As2'
_cell_length_a 3.603
_cell_length_b 3.928
_cell_length_c 5.046
_cell_angle_alpha 90.00
_cell_angle_beta 90.00
_cell_angle_gamma 90.00
_space_group_name_H-M_alt 'P m m m'
_space_group_IT_number 47
loop_
_space_group_symop_operation_xyz
'x,y,z'
'-x,-y,-z'
'-x,-y,z'
'x,y,-z'
'x,-y,-z'
'-x,y,z'
'-x,y,-z'
'x,-y,z'
loop_
_atom_site_label
_atom_site_type_symbol
_atom_site_fract_x
_atom_site_fract_y
_atom_site_fract_z
_atom_site_occupancy
Zr1 Zr 0.000 0.000 0.000 1
Mo1 Mo 0.500 0.000 0.500 1
As1 As 0.000 0.500 0.500 1
As2 As 0.500 0.500 0.000 1

---

# PmSmCl3 (PBE, optimized geometry)
# crystal system = monoclinic
# magnetic moment = 0.00 μB/cell
# formation energy (no corrections) = -1.847 eV/atom
# raw total energy = -4.849 eV per atom
data_PmSmCl3
_chemical_formula_sum 'Pm4 Sm4 Cl12'
_cell_length_a 15.792
_cell_length_b 3.995
_cell_length_c 10.563
_cell_angle_alpha 90.00
_cell_angle_beta 118.64
_cell_angle_gamma 90.00
_space_group_name_H-M_alt 'C 1 2/m 1'
_space_group_IT_number 12
loop_
_space_group_symop_operation_xyz
'x,y,z'
'-x,-y,-z'
'-x,y,-z'
'x,-y,z'
'x+1/2,y+1/2,z'
'-x+1/2,-y+1/2,-z'
'-x+1/2,y+1/2,-z'
'x+1/2,-y+1/2,z'
loop_
_atom_site_label
_atom_site_type_symbol
_atom_site_fract_x
_atom_site_fract_y
_atom_site_fract_z
_atom_site_occupancy
Pm1 Pm 0.140 0.000 0.293 1
Sm1 Sm 0.089 0.500 0.949 1
Cl1 Cl 0.045 0.000 0.740 1
Cl2 Cl 0.159 0.500 0.506 1
Cl3 Cl 0.227 0.000 0.117 1

---

# TlCrRh3 (PBE, optimized geometry)
# crystal system = cubic
# E above lowest polymorph = 0.0 meV per atom
# magnetic moment = 0.00 μB/cell
# DOS(E_F) = 4.07 states/eV/cell
# raw total energy = -6.111 eV per atom
# E_form = 337 kJ/mol of formula units
data_TlCrRh3
_chemical_formula_sum 'Tl1 Cr1 Rh3'
_cell_length_a 4.521
_cell_length_b 4.521
_cell_length_c 4.521
_cell_angle_alpha 90.00
_cell_angle_beta 90.00
_cell_angle_gamma 90.00
_space_group_name_H-M_alt 'P m -3 m'
_space_group_IT_number 221
_space_group_name_Hall '-P 4 2 3'
loop_
_atom_site_label
_atom_site_type_symbol
_atom_site_fract_x
_atom_site_fract_y
_atom_site_fract_z
_atom_site_occupancy
Tl1 Tl 0.000 0.000 0.000 1
Cr1 Cr 0.500 0.500 0.500 1
Rh1 Rh 0.000 0.500 0.500 1

---

# Ba2Tl4Pd3 (PBE, optimized geometry)
# crystal system = orthorhombic
# E above lowest polymorph = 0.0 meV per atom
# magnetic moment = 0.00 μB/cell
# DOS(E_F) = 19.66 states/eV/cell
# raw total energy = -3.590 eV per atom
# E_form = -330 kJ/mol of formula units
data_Ba2Tl4Pd3
_chemical_formula_sum 'Ba8 Tl16 Pd12'
_cell_length_a 6.080
_cell_length_b 10.560
_cell_length_c 15.099
_cell_angle_alpha 90.00
_cell_angle_beta 90.00
_cell_angle_gamma 90.00
_space_group_name_H-M_alt 'F m m m'
_space_group_IT_number 69
_space_group_name_Hall '-F 2 2'
loop_
_atom_site_label
_atom_site_type_symbol
_atom_site_fract_x
_atom_site_fract_y
_atom_site_fract_z
_atom_site_occupancy
Ba1 Ba 0.000 0.000 0.125 1
Tl1 Tl 0.000 0.166 0.346 1
Pd1 Pd 0.000 0.000 0.500 1
Pd2 Pd 0.250 0.250 0.000 1